1.
Density functional theory data (PBE-GGA) for SrSc3 after structural relaxation.

The structure in POSCAR format:
```
SrSc3
1.0
-1.272 6.161 -1.847
-2.624 4.043 4.444
5.057 -3.816 -1.688
Sc Sr
3 1
Cartesian
-3.009 7.880 2.006 Sc
1.217 0.114 1.378 Sc
-0.887 2.324 0.591 Sc
1.892 1.172 -1.768 Sr
```

Values from the calculation:
Space group: No. 71
E_tot in Ry/atom: -0.3572

2.
Density functional theory data (PBE-GGA) for TbPr4Nd3Se8 after structural relaxation.

The structure in POSCAR format:
```
TbPr4Nd3Se8
1.0
8.456 0.000 0.000
0.000 8.479 0.013
-4.228 -4.222 5.980
Se Tb Nd Pr
8 1 3 4
Cartesian
-2.154 2.079 5.977 Se
4.228 4.230 2.987 Se
0.000 0.027 3.006 Se
2.074 2.178 0.016 Se
2.154 2.079 5.977 Se
4.228 0.026 3.061 Se
6.382 2.178 0.016 Se
0.000 4.230 2.932 Se
0.000 4.239 0.006 Tb
-2.114 2.128 2.996 Nd
4.228 4.239 0.006 Nd
2.114 2.128 2.996 Nd
2.114 -2.111 2.990 Pr
4.228 0.000 0.000 Pr
0.000 0.000 0.000 Pr
-2.114 -2.111 2.990 Pr
```

Values from the calculation:
Space group: No. 166
Uncorrected formation energy in meV/atom: -1827

3.
Density functional theory data (PBE-GGA) for Cs3KNi2Cl8 after structural relaxation.

The structure in POSCAR format:
```
Cs3KNi2Cl8
1.0
-6.282 -1.641 3.841
3.793 -5.474 -3.544
5.383 -1.544 8.144
Cl Ni Cs K
8 2 3 1
Cartesian
5.699 -5.706 6.882 Cl
2.152 -2.644 6.386 Cl
-2.805 -2.953 1.560 Cl
-0.741 -3.400 8.155 Cl
3.635 -5.259 0.286 Cl
1.889 -2.739 1.919 Cl
0.742 -6.015 2.055 Cl
1.006 -5.920 6.523 Cl
1.382 -4.153 7.893 Ni
1.513 -4.506 0.548 Ni
-0.954 -3.484 4.360 Cs
3.848 -5.175 4.082 Cs
0.000 0.000 0.000 Cs
2.692 -0.772 4.072 K
```

Values from the calculation:
Space group: No. 164
Uncorrected formation energy in meV/atom: -1353

4.
Density functional theory data (PBE-GGA) for LiMgGa6 after structural relaxation.

The structure in POSCAR format:
```
LiMgGa6
1.0
4.202 0.000 0.000
0.000 4.202 0.000
0.000 0.000 8.151
Ga Li Mg
6 1 1
Cartesian
2.101 0.000 6.042 Ga
2.101 0.000 2.109 Ga
2.101 2.101 4.075 Ga
0.000 2.101 6.042 Ga
2.101 2.101 0.000 Ga
0.000 2.101 2.109 Ga
0.000 0.000 4.075 Li
0.000 0.000 0.000 Mg
```

Values from the calculation:
Space group: No. 123
E_tot in Ry/atom: -0.2087

5.
Density functional theory data (PBE-GGA) for TcC2Br after structural relaxation.

The structure in POSCAR format:
```
TcC2Br
1.0
5.465 0.000 0.000
0.000 5.465 0.000
2.733 2.733 4.701
C Tc Br
4 2 2
Cartesian
6.832 2.107 3.526 C
6.090 4.099 1.175 C
4.840 1.366 1.175 C
4.099 3.358 3.526 C
0.000 0.000 0.000 Tc
5.465 2.733 2.351 Tc
2.733 2.733 0.000 Br
2.733 5.465 2.351 Br
```

Values from the calculation:
Space group: No. 122
Uncorrected formation energy in meV/atom: 1361

6.
Density functional theory data (PBE-GGA) for AcTb7Pr2 after structural relaxation.

The structure in POSCAR format:
```
AcTb7Pr2
1.0
-0.419 -2.028 -5.242
8.948 2.046 -1.507
-2.940 -8.149 3.388
Tb Pr Ac
7 2 1
Cartesian
2.242 -0.919 -2.854 Tb
-0.274 -5.863 2.290 Tb
6.107 -4.846 -1.644 Tb
6.282 -0.241 -0.409 Tb
-0.518 -3.286 -1.717 Tb
3.347 -7.212 -0.507 Tb
2.795 -4.066 -1.680 Tb
0.393 -6.125 -0.692 Pr
5.196 -2.006 -2.669 Pr
0.000 0.000 0.000 Ac
```

Values from the calculation:
Space group: No. 65
E_tot in Ry/atom: -0.2908

7.
Density functional theory data (PBE-GGA) for Pm8PrSm2 after structural relaxation.

The structure in POSCAR format:
```
Pm8PrSm2
1.0
-4.607 2.949 1.641
-5.460 -8.519 -2.116
-3.168 -8.686 4.623
Sm Pr Pm
2 1 8
Cartesian
-5.883 -2.699 1.934 Sm
-7.353 -11.557 2.214 Sm
0.000 0.000 0.000 Pr
-9.348 -8.665 1.209 Pm
-4.957 -5.514 -0.206 Pm
-8.278 -8.743 4.354 Pm
-5.794 -8.670 1.755 Pm
-3.887 -5.592 2.939 Pm
-10.554 -11.709 3.299 Pm
-7.441 -5.586 2.392 Pm
-2.682 -2.547 0.849 Pm
```

Values from the calculation:
Space group: No. 12
E_tot in Ry/atom: -0.3381

8.
Density functional theory data (PBE-GGA) for Cs3Rb3Hg2 after structural relaxation.

The structure in POSCAR format:
```
Cs3Rb3Hg2
1.0
-0.717 4.093 -3.429
-8.240 -1.782 3.828
4.860 15.765 17.802
Rb Cs Hg
6 6 4
Cartesian
-1.147 9.217 7.009 Rb
-1.016 15.134 18.277 Rb
-6.026 4.164 6.230 Rb
1.929 13.913 11.971 Rb
-2.950 8.860 11.193 Rb
-3.081 2.942 -0.076 Rb
3.457 14.274 16.316 Cs
-2.596 6.094 3.585 Cs
-6.061 8.645 7.354 Cs
1.964 9.432 10.847 Cs
-7.554 3.802 1.886 Cs
-1.501 11.982 14.617 Cs
0.271 15.977 14.782 Hg
-3.138 6.089 7.925 Hg
-4.368 2.099 3.419 Hg
-0.959 11.987 10.276 Hg
```

Values from the calculation:
Space group: No. 63
E_tot in Ry/atom: -0.0631

Copy entry 7 word for word.
Density functional theory data (PBE-GGA) for Pm8PrSm2 after structural relaxation.

The structure in POSCAR format:
```
Pm8PrSm2
1.0
-4.607 2.949 1.641
-5.460 -8.519 -2.116
-3.168 -8.686 4.623
Sm Pr Pm
2 1 8
Cartesian
-5.883 -2.699 1.934 Sm
-7.353 -11.557 2.214 Sm
0.000 0.000 0.000 Pr
-9.348 -8.665 1.209 Pm
-4.957 -5.514 -0.206 Pm
-8.278 -8.743 4.354 Pm
-5.794 -8.670 1.755 Pm
-3.887 -5.592 2.939 Pm
-10.554 -11.709 3.299 Pm
-7.441 -5.586 2.392 Pm
-2.682 -2.547 0.849 Pm
```

Values from the calculation:
Space group: No. 12
E_tot in Ry/atom: -0.3381